VASP calculation (PBE) on crystalline Ta2InTc at its relaxed geometry.

Values from the calculation:
D(E_F) = 2.366 states/eV/f.u.
E = -9.065 eV/atom
ΔH_f (0 K) = 0.138 eV/atom

a = 5.3712 Å, b = 5.3712 Å, c = 2.8657 Å
α = 98.48°, β = 98.48°, γ = 116.33°
Atoms (fractional coordinates):
1 Ta 0.0000 0.5000 0.0000
2 Ta 0.5000 0.0000 0.0000
3 In 0.0000 0.0000 0.5000
4 Tc 0.5000 0.5000 0.5000


VASP calculation (PBE) on crystalline RbMg2SiOs at its relaxed geometry.

Values from the calculation:
D(E_F) = 1.757 states/eV/f.u.
E = -4.124 eV/atom

a = 5.2039 Å, b = 5.2039 Å, c = 4.6664 Å
α = 90.00°, β = 90.00°, γ = 90.00°
Atoms (fractional coordinates):
1 Rb 0.0000 0.0000 0.0000
2 Mg 0.0000 0.5000 0.5000
3 Mg 0.5000 0.0000 0.5000
4 Si 0.5000 0.5000 0.0000
5 Os 0.5000 0.5000 0.5000


VASP calculation (PBE) on crystalline GdThFeNi at its relaxed geometry.

Values from the calculation:
D(E_F) = 3.965 states/eV/f.u.
E = -9.025 eV/atom
ΔH_f (0 K) = -0.089 eV/atom

a = 4.8633 Å, b = 4.8633 Å, c = 4.8633 Å
α = 60.00°, β = 60.00°, γ = 60.00°
Atoms (fractional coordinates):
1 Gd 0.0000 0.0000 0.0000
2 Th 0.5000 0.5000 0.5000
3 Fe 0.2500 0.2500 0.2500
4 Ni 0.7500 0.7500 0.7500